Below is an optimized crystal structure of Li3Pu2Ge4, with properties calculated at the GGA-PBE level.

- ρ: 7.917 g/cm³
- Crystal system: orthorhombic
- DOS(E_F): 17.97 states/eV/f.u.
- Electronic total energy: -222.735 eV/cell

Geometry as CIF:
```
data_Li3Pu2Ge4
_chemical_formula_sum 'Li12 Pu8 Ge16'
_cell_length_a 5.780
_cell_length_b 15.434
_cell_length_c 7.518
_cell_angle_alpha 90.00
_cell_angle_beta 90.00
_cell_angle_gamma 90.00
_space_group_name_H-M_alt 'C m c e'
_space_group_IT_number 64
_space_group_name_Hall '-C 2ac 2'
loop_
_atom_site_label
_atom_site_fract_x
_atom_site_fract_y
_atom_site_fract_z
Li1 0.000 0.000 0.000
Li2 0.250 0.232 0.250
Pu1 0.000 0.099 0.597
Ge1 0.000 0.170 0.986
Ge2 0.250 0.065 0.250
```

---

Below is an optimized crystal structure of SiTc2Ir, with properties calculated at the GGA-PBE level.

- ρ: 8.338 g/cm³
- Crystal system: tetragonal
- DOS(E_F): 3.84 states/eV/f.u.
- Electronic total energy: -126.758 eV/cell

Geometry as CIF:
```
data_SiTc2Ir
_chemical_formula_sum 'Si4 Tc8 Ir4'
_cell_length_a 5.575
_cell_length_b 5.575
_cell_length_c 10.671
_cell_angle_alpha 90.00
_cell_angle_beta 90.00
_cell_angle_gamma 90.00
_space_group_name_H-M_alt 'I -4 2 d'
_space_group_IT_number 122
_space_group_name_Hall 'I -4 2bw'
loop_
_atom_site_label
_atom_site_fract_x
_atom_site_fract_y
_atom_site_fract_z
Si1 0.000 0.000 0.000
Tc1 0.247 0.250 0.125
Ir1 0.000 0.000 0.500
```

---

Below is an optimized crystal structure of AcNdDyTm, with properties calculated at the GGA-PBE level.

- ρ: 8.282 g/cm³
- Crystal system: monoclinic
- DOS(E_F): 5.11 states/eV/f.u.
- Energy relative to the lowest polymorph listed for this composition: 0.0 kJ per mole of atoms

Geometry as CIF:
```
data_AcNdDyTm
_chemical_formula_sum 'Ac2 Nd2 Dy2 Tm2'
_cell_length_a 6.396
_cell_length_b 3.690
_cell_length_c 12.127
_cell_angle_alpha 90.00
_cell_angle_beta 100.09
_cell_angle_gamma 90.00
_space_group_name_H-M_alt 'C 1 m 1'
_space_group_IT_number 8
loop_
_space_group_symop_operation_xyz
'x,y,z'
'x,-y,z'
'x+1/2,y+1/2,z'
'x+1/2,-y+1/2,z'
loop_
_atom_site_label
_atom_site_fract_x
_atom_site_fract_y
_atom_site_fract_z
Ac1 0.000 0.000 0.000
Nd1 0.243 0.000 0.730
Dy1 0.418 0.000 0.258
Tm1 0.330 0.500 0.491
```